Record 1
AlCu: relaxed, PBE-GGA.

Lattice parameters (Å, degrees): 4.1877 4.1877 12.5724 90.00 90.00 120.00
With the nearest neighbours (Å) after each atom.
Atoms (fractional coordinates):
Al 0.3333 0.6667 0.0427  4 Cu 2.43-2.51, 3 Al 2.65
Al 0.0000 0.0000 0.2906  4 Cu 2.43-2.51, 3 Al 2.65
Al 0.6667 0.3333 0.9573  4 Cu 2.43-2.51, 3 Al 2.65
Al 0.3333 0.6667 0.6239  4 Cu 2.43-2.51, 3 Al 2.65
Al 0.0000 0.0000 0.7094  4 Cu 2.43-2.51, 3 Al 2.65
Al 0.6667 0.3333 0.3761  4 Cu 2.43-2.51, 3 Al 2.65
Cu 0.3333 0.6667 0.2362  4 Al 2.43-2.51, 1 Cu 2.44
Cu 0.6667 0.3333 0.5694  4 Al 2.43-2.51, 1 Cu 2.44
Cu 0.3333 0.6667 0.4306  4 Al 2.43-2.51, 1 Cu 2.44
Cu 0.0000 0.0000 0.9028  4 Al 2.43-2.51, 1 Cu 2.45
Cu 0.0000 0.0000 0.0972  4 Al 2.43-2.51, 1 Cu 2.45
Cu 0.6667 0.3333 0.7638  4 Al 2.43-2.51, 1 Cu 2.44

Values from the calculation:
- space group = R-3m
- E_form (eV per atom) = 0.0719


Record 2
Sr2LaCl: relaxed, PBE-GGA.

Lattice parameters (Å, degrees): 6.5498 6.5498 3.9146 89.83 89.83 106.47
With the nearest neighbours (Å) after each atom.
Atoms (fractional coordinates):
Sr 0.0000 0.0000 0.0000  4 Cl 3.81-3.82, 4 La 3.81-3.82, 4 Sr 3.91-3.92
Sr 0.5000 0.5000 0.0000  4 La 3.81-3.82, 4 Cl 3.81-3.82, 4 Sr 3.91-3.92
La 0.0000 0.5000 0.5000  8 Sr 3.81-3.82, 2 La 3.91, 2 Cl 3.92
Cl 0.5000 0.0000 0.5000  8 Sr 3.81-3.82, 2 Cl 3.91, 2 La 3.92

Values from the calculation:
- formation energy without anion corrections (eV/f.u.) = -1.41
- space group = C2/m
- energy above the lowest structure with this stoichiometry (eV per atom) = 0.445


Record 3
BaNaPd: relaxed, PBE-GGA.

Lattice parameters (Å, degrees): 4.3895 6.4128 10.2745 81.61 77.60 46.79
With the nearest neighbours (Å) after each atom.
Atoms (fractional coordinates):
Pd 0.9314 0.8460 0.6028  2 Pd 2.87, 1 Na 3.19
Pd 0.5141 0.3456 0.4375  2 Pd 2.87, 1 Na 3.19
Na 0.7723 0.8463 0.9209  1 Pd 3.19
Na 0.6732 0.3453 0.1195  1 Pd 3.19
Ba 0.8885 0.3461 0.6878  6 Pd 3.32-3.34
Ba 0.5570 0.8455 0.3526  6 Pd 3.32-3.34

Values from the calculation:
- space group = P-1
- E_form (eV per atom) = -0.3419
- energy above the lowest structure with this stoichiometry (eV per atom) = 0.000